Entry 1:
Ho4CSe2 | PBE | relaxed

```
7
Lattice="-2.441 2.441 7.007 2.441 -2.441 7.007 2.441 2.441 -7.007" Properties=species:S:1:pos:R:3 pbc="T T T"
Ho 2.441 0.000 0.000
Ho 0.000 0.000 2.426
Ho 0.000 2.441 0.000
Ho 0.000 0.000 11.587
C 0.000 0.000 0.000
Se 0.000 0.000 5.255
Se 0.000 0.000 8.759
```

Computed properties:
- Formation energy (no corrections): -18.6 kcal/mol of atoms
- Crystal system: tetragonal
- ΔE to the lowest computed polymorph: 296 meV per atom


Entry 2:
UAgF6 | PBE | relaxed

```
8
Lattice="4.092 -3.366 0.000 4.092 3.366 0.000 -2.012 0.000 5.328" Properties=species:S:1:pos:R:3 pbc="T T T"
U 0.000 0.000 0.000
Ag 3.086 0.000 2.664
F 2.147 1.904 3.826
F 2.073 0.000 0.196
F 4.025 1.904 1.502
F 2.147 -1.904 3.826
F 4.099 0.000 5.133
F 4.025 -1.904 1.502
```

Computed properties:
- Formation energy (no corrections): -67.7 kcal/mol of atoms
- Crystal system: monoclinic


Entry 3:
FeCuS2 | PBE | relaxed

```
4
Lattice="0.000 2.951 2.951 2.951 0.000 2.951 2.951 2.951 0.000" Properties=species:S:1:pos:R:3 pbc="T T T"
Fe 0.000 0.000 0.000
Cu 2.951 2.951 2.951
S 1.476 1.476 1.476
S 4.427 4.427 4.427
```

Computed properties:
- Formation energy (no corrections): 6.2 kcal/mol of atoms
- Crystal system: cubic


Entry 4:
ThScCuMo | PBE | relaxed

```
4
Lattice="0.000 3.439 3.439 3.439 0.000 3.439 3.439 3.439 0.000" Properties=species:S:1:pos:R:3 pbc="T T T"
Th 0.000 0.000 0.000
Sc 3.439 3.439 3.439
Cu 1.720 1.720 1.720
Mo 5.159 5.159 5.159
```

Computed properties:
- Crystal system: cubic
- DFT formation energy: 26 meV per atom


Entry 5:
CePrDyTh | PBE | relaxed

```
4
Lattice="0.000 4.024 4.024 4.024 0.000 4.024 4.024 4.024 0.000" Properties=species:S:1:pos:R:3 pbc="T T T"
Ce 0.000 0.000 0.000
Pr 6.036 6.036 6.036
Dy 4.024 4.024 4.024
Th 2.012 2.012 2.012
```

Computed properties:
- Crystal system: cubic
- DFT formation energy: 227 meV per atom
- ΔE to the lowest computed polymorph: 181 meV per atom


Entry 6:
Sr2AcSmSe4 | PBE | relaxed

```
8
Lattice="7.535 0.000 0.000 0.000 4.351 0.000 -2.507 0.000 7.239" Properties=species:S:1:pos:R:3 pbc="T T T"
Sr 0.000 0.000 0.000
Sr 3.767 2.175 0.000
Ac -1.253 2.175 3.620
Sm 2.514 0.000 3.620
Se 0.077 0.000 5.421
Se 1.325 2.175 1.867
Se 3.703 2.175 5.372
Se 4.951 0.000 1.819
```

Computed properties:
- Formation energy (no corrections): -44.1 kcal/mol of atoms
- Crystal system: monoclinic


Entry 7:
CeTmCu | PBE | relaxed

```
3
Lattice="-1.714 1.714 6.192 1.714 -1.714 6.192 1.714 1.714 -6.192" Properties=species:S:1:pos:R:3 pbc="T T T"
Ce 0.000 0.000 0.000
Tm 0.000 0.000 8.853
Cu 0.000 0.000 4.259
```

Computed properties:
- Crystal system: tetragonal
- DFT formation energy: -53 meV per atom
- ΔE to the lowest computed polymorph: 43 meV per atom


Entry 8:
TlMoW2 | PBE | relaxed

```
4
Lattice="2.882 0.000 0.000 0.000 4.343 0.000 -0.596 0.000 5.762" Properties=species:S:1:pos:R:3 pbc="T T T"
Tl 0.000 0.000 0.000
Mo -0.298 0.000 2.881
W 0.755 2.172 4.087
W 1.530 2.172 1.675
```

Computed properties:
- Crystal system: monoclinic
- DFT formation energy: 668 meV per atom
- ΔE to the lowest computed polymorph: 165 meV per atom


| no. | magnetization (μB/f.u.) | calculated volume (Å³/cell) |
| --- | --- | --- |
| 1 | 0.01 | 167 |
| 2 | 1.00 | 147 |
| 3 | 1.07 | 51 |
| 4 | 0.00 | 81 |
| 5 | 1.72 | 130 |
| 6 | 0.00 | 237 |
| 7 | 1.24 | 73 |
| 8 | 0.00 | 72 |